1.
CrMo2As after structural relaxation. Source: Alexandria via LeMat-Bulk, functional GGA-PBE.

Geometry as POSCAR:
```
CrMo2As
1.0
2.813 0.016 0.000
-0.976 2.638 0.000
0.000 0.000 8.084
As Mo Cr
1 2 1
Cartesian
0.000 0.000 4.160
0.919 1.327 2.061
0.000 0.000 7.984
0.919 1.327 6.004
```

**Total magnetic moment**: 0.963 μB/f.u.
**Space group**: Cmm2
**Uncorrected energy**: -8.758 eV per atom
**ρ**: 8.81 g cm⁻³
**ΔH_f (0 K)**: 0.226 eV/atom
**DOS(E_F)**: 4.31 states/eV per cell


2.
Tm5ZnPb2 after structural relaxation. Source: Alexandria via LeMat-Bulk, functional GGA-PBE.

Geometry as POSCAR:
```
Tm5ZnPb2
1.0
4.396 0.000 0.000
-2.198 5.657 0.000
0.000 0.000 17.460
Tm Pb Zn
10 4 2
Cartesian
0.000 3.952 8.118
2.198 5.135 15.695
0.000 0.521 1.765
0.000 0.521 6.965
2.198 1.704 16.848
2.198 1.704 9.342
0.000 5.014 4.365
2.198 0.642 13.095
0.000 3.952 0.612
2.198 5.135 10.495
2.198 2.886 2.642
0.000 2.771 14.818
0.000 2.771 11.372
2.198 2.886 6.088
0.000 1.730 4.365
2.198 3.927 13.095
```

**Total magnetic moment**: 0.000 μB/f.u.
**Space group**: Cmcm
**Uncorrected energy**: -4.082 eV per atom
**ρ**: 10.13 g cm⁻³
**ΔH_f (0 K)**: -0.201 eV/atom
**DOS(E_F)**: 14.80 states/eV per cell


3.
Mn2FeNi2Pt5 after structural relaxation. Source: Alexandria via LeMat-Bulk, functional GGA-PBE.

Geometry as POSCAR:
```
Mn2FeNi2Pt5
1.0
-3.136 -2.138 -0.856
2.637 -6.155 5.715
-4.495 4.026 6.410
Pt Mn Fe Ni
10 4 2 4
Cartesian
-1.408 -1.964 1.224
-3.585 -2.303 10.045
-3.175 -1.833 7.368
-3.383 -0.587 5.020
-0.249 -4.147 2.429
-1.818 -2.434 3.901
-0.035 -5.928 6.096
-4.958 1.660 5.173
-3.815 0.944 2.777
-1.610 -3.680 6.249
-2.858 1.312 7.193
-0.830 -2.400 9.039
1.001 -3.442 4.932
-1.027 0.271 3.086
0.000 0.000 0.000
-0.929 -1.065 6.062
-2.287 -0.321 9.181
0.622 -3.877 7.408
0.429 -1.808 2.944
-2.479 1.747 4.717
```

**Total magnetic moment**: 13.285 μB/f.u.
**Space group**: P4/mbm
**Uncorrected energy**: -6.954 eV per atom
**ρ**: 13.86 g cm⁻³
**ΔH_f (0 K)**: -0.097 eV/atom
**DOS(E_F)**: 20.03 states/eV per cell


4.
Y2ZnRe after structural relaxation. Source: Alexandria via LeMat-Bulk, functional GGA-PBE.

Geometry as POSCAR:
```
Y2ZnRe
1.0
-3.133 1.579 -2.666
-2.657 -1.638 -3.110
-5.804 -1.422 4.083
Y Zn Re
2 1 1
Cartesian
-5.696 -1.385 3.930
-5.906 -0.778 -0.694
-2.898 -0.370 -0.423
-8.695 -1.111 -1.270
```

**Total magnetic moment**: 0.000 μB/f.u.
**Space group**: C2/m
**Uncorrected energy**: -6.324 eV per atom
**ρ**: 7.45 g cm⁻³
**ΔH_f (0 K)**: 0.339 eV/atom
**DOS(E_F)**: 3.40 states/eV per cell